a | This record from Alexandria via LeMat-Bulk describes a geometry-optimized Zn8Pt2Au structure. The functional is GGA-PBE.

Values from the calculation:
Magnetization = 0.0 μB per cell
DOS at the Fermi energy = 0.297 states/eV per atom

The structure in CIF format:
```
data_Zn8Pt2Au
_cell_length_a 4.2961
_cell_length_b 7.8776
_cell_length_c 6.5220
_cell_angle_alpha 52.85
_cell_angle_beta 89.98
_cell_angle_gamma 89.96
_symmetry_space_group_name_H-M 'P 1'
_symmetry_Int_Tables_number 1
loop_
_symmetry_equiv_pos_as_xyz
'x,y,z'
loop_
_atom_site_label
_atom_site_type_symbol
_atom_site_fract_x
_atom_site_fract_y
_atom_site_fract_z
Pt1 Pt 0.0000 0.6327 0.7347
Pt2 Pt 0.0000 0.3673 0.2653
Zn1 Zn 0.9990 0.0346 0.2683
Zn2 Zn 0.9990 0.3029 0.7317
Zn3 Zn 0.4991 0.3373 0.0000
Zn4 Zn 0.5000 0.2481 0.5038
Zn5 Zn 0.0010 0.6971 0.2683
Zn6 Zn 0.5009 0.6627 0.0000
Zn7 Zn 0.5000 0.7519 0.4962
Zn8 Zn 0.0010 0.9654 0.7317
Au1 Au 0.5000 0.0000 0.0000
```



b | This record from Alexandria via LeMat-Bulk describes a geometry-optimized Zn8Pt2Au structure. The functional is GGA-PBE.

Values from the calculation:
Magnetization = 0.0 μB per cell
DOS at the Fermi energy = 0.225 states/eV per atom

The structure in CIF format:
```
data_Zn8Pt2Au
_cell_length_a 4.1322
_cell_length_b 7.1486
_cell_length_c 7.1261
_cell_angle_alpha 120.11
_cell_angle_beta 106.96
_cell_angle_gamma 90.00
_symmetry_space_group_name_H-M 'P 1'
_symmetry_Int_Tables_number 1
loop_
_symmetry_equiv_pos_as_xyz
'x,y,z'
loop_
_atom_site_label
_atom_site_type_symbol
_atom_site_fract_x
_atom_site_fract_y
_atom_site_fract_z
Zn1 Zn 0.1529 0.1524 0.3048
Zn2 Zn 0.0000 0.6887 0.0000
Zn3 Zn 0.3467 0.5610 0.6931
Zn4 Zn 0.0000 0.3113 0.0000
Zn5 Zn 0.6533 0.8679 0.3069
Zn6 Zn 0.3467 0.1321 0.6931
Zn7 Zn 0.6533 0.4390 0.3069
Zn8 Zn 0.8471 0.8476 0.6952
Pt1 Pt 0.1979 0.6979 0.3958
Pt2 Pt 0.8021 0.3021 0.6042
Au1 Au 0.5000 0.0000 0.0000
```



b is preferred energetically. Next in line: 32 meV/atom higher.



a | This record from Alexandria via LeMat-Bulk describes a geometry-optimized Zn6PtAu2 structure. The functional is GGA-PBE.

Values from the calculation:
Magnetization = 0.0 μB per cell
DOS at the Fermi energy = 0.360 states/eV per atom

The structure in CIF format:
```
data_Zn6PtAu2
_cell_length_a 4.8112
_cell_length_b 4.8112
_cell_length_c 8.2964
_cell_angle_alpha 63.20
_cell_angle_beta 63.20
_cell_angle_gamma 57.55
_symmetry_space_group_name_H-M 'P 1'
_symmetry_Int_Tables_number 1
loop_
_symmetry_equiv_pos_as_xyz
'x,y,z'
loop_
_atom_site_label
_atom_site_type_symbol
_atom_site_fract_x
_atom_site_fract_y
_atom_site_fract_z
Pt1 Pt 0.0000 0.0000 0.5000
Zn1 Zn 0.3306 0.3306 0.5006
Zn2 Zn 0.6694 0.6694 0.4994
Zn3 Zn 0.3323 0.3319 0.1692
Zn4 Zn 0.6677 0.6681 0.8308
Zn5 Zn 0.9991 0.9987 0.1701
Zn6 Zn 0.0009 0.0013 0.8299
Au1 Au 0.6643 0.6638 0.1719
Au2 Au 0.3357 0.3362 0.8281
```



b | This record from Alexandria via LeMat-Bulk describes a geometry-optimized Zn6PtAu2 structure. The functional is GGA-PBE.

Values from the calculation:
Magnetization = 0.0 μB per cell
DOS at the Fermi energy = 0.192 states/eV per atom

The structure in CIF format:
```
data_Zn6PtAu2
_cell_length_a 4.2450
_cell_length_b 6.4847
_cell_length_c 7.3195
_cell_angle_alpha 116.29
_cell_angle_beta 109.70
_cell_angle_gamma 90.00
_symmetry_space_group_name_H-M 'P 1'
_symmetry_Int_Tables_number 1
loop_
_symmetry_equiv_pos_as_xyz
'x,y,z'
loop_
_atom_site_label
_atom_site_type_symbol
_atom_site_fract_x
_atom_site_fract_y
_atom_site_fract_z
Zn1 Zn 0.5000 0.2257 0.0000
Zn2 Zn 0.8325 0.0907 0.6757
Zn3 Zn 0.5000 0.7743 0.0000
Zn4 Zn 0.1675 0.9093 0.3243
Zn5 Zn 0.1675 0.4151 0.3243
Zn6 Zn 0.8325 0.5849 0.6757
Au1 Au 0.6707 0.6655 0.3310
Au2 Au 0.3293 0.3345 0.6690
Pt1 Pt 0.0000 0.0000 0.0000
```



a is preferred energetically. Next in line: 13 meV/atom higher.



a | This record from Alexandria via LeMat-Bulk describes a geometry-optimized Zn3PtAu2 structure. The functional is GGA-PBE.

Values from the calculation:
Magnetization = 0.0 μB per cell
DOS at the Fermi energy = 0.285 states/eV per atom

The structure in CIF format:
```
data_Zn3PtAu2
_cell_length_a 3.0649
_cell_length_b 3.0649
_cell_length_c 10.0291
_cell_angle_alpha 90.00
_cell_angle_beta 90.00
_cell_angle_gamma 90.00
_symmetry_space_group_name_H-M 'P 1'
_symmetry_Int_Tables_number 1
loop_
_symmetry_equiv_pos_as_xyz
'x,y,z'
loop_
_atom_site_label
_atom_site_type_symbol
_atom_site_fract_x
_atom_site_fract_y
_atom_site_fract_z
Au1 Au 0.5000 0.5000 0.1711
Au2 Au 0.5000 0.5000 0.8289
Pt1 Pt 0.5000 0.5000 0.5000
Zn1 Zn 0.0000 0.0000 0.3443
Zn2 Zn 0.0000 0.0000 0.6557
Zn3 Zn 0.0000 0.0000 0.0000
```



b | This record from Alexandria via LeMat-Bulk describes a geometry-optimized Zn3PtAu2 structure. The functional is GGA-PBE.

Values from the calculation:
Magnetization = 0.0 μB per cell
DOS at the Fermi energy = 0.249 states/eV per atom

The structure in CIF format:
```
data_Zn3PtAu2
_cell_length_a 5.3842
_cell_length_b 5.1266
_cell_length_c 7.4411
_cell_angle_alpha 96.69
_cell_angle_beta 111.21
_cell_angle_gamma 90.00
_symmetry_space_group_name_H-M 'P 1'
_symmetry_Int_Tables_number 1
loop_
_symmetry_equiv_pos_as_xyz
'x,y,z'
loop_
_atom_site_label
_atom_site_type_symbol
_atom_site_fract_x
_atom_site_fract_y
_atom_site_fract_z
Zn1 Zn 0.7273 0.4148 0.6848
Zn2 Zn 0.0425 0.0852 0.3152
Zn3 Zn 0.6380 0.2500 0.0000
Zn4 Zn 0.9575 0.9148 0.6848
Zn5 Zn 0.3620 0.7500 0.0000
Zn6 Zn 0.2727 0.5852 0.3152
Au1 Au 0.7889 0.5972 0.3411
Au2 Au 0.4479 0.9028 0.6589
Au3 Au 0.5521 0.0972 0.3411
Au4 Au 0.2111 0.4028 0.6589
Pt1 Pt 0.8611 0.7500 0.0000
Pt2 Pt 0.1389 0.2500 0.0000
```



a is preferred energetically. Next in line: 16 meV/atom higher.



a | This record from Alexandria via LeMat-Bulk describes a geometry-optimized Zn6PtAu3 structure. The functional is GGA-PBE.

Values from the calculation:
Magnetization = 0.0 μB per cell
DOS at the Fermi energy = 0.259 states/eV per atom

The structure in CIF format:
```
data_Zn6PtAu3
_cell_length_a 7.4760
_cell_length_b 6.6348
_cell_length_c 7.0446
_cell_angle_alpha 90.00
_cell_angle_beta 74.14
_cell_angle_gamma 90.00
_symmetry_space_group_name_H-M 'P 1'
_symmetry_Int_Tables_number 1
loop_
_symmetry_equiv_pos_as_xyz
'x,y,z'
loop_
_atom_site_label
_atom_site_type_symbol
_atom_site_fract_x
_atom_site_fract_y
_atom_site_fract_z
Au1 Au 0.4344 0.1560 0.2978
Au2 Au 0.0000 0.0000 0.5000
Au3 Au 0.0656 0.6560 0.2022
Au4 Au 0.5000 0.5000 0.0000
Au5 Au 0.9344 0.3440 0.7978
Au6 Au 0.5656 0.8440 0.7022
Pt1 Pt 0.0000 0.0000 0.0000
Pt2 Pt 0.5000 0.5000 0.5000
Zn1 Zn 0.7717 0.3757 0.1969
Zn2 Zn 0.8300 0.5729 0.5395
Zn3 Zn 0.6700 0.0729 0.9605
Zn4 Zn 0.1700 0.4271 0.4605
Zn5 Zn 0.3240 0.7940 0.4079
Zn6 Zn 0.3300 0.9271 0.0395
Zn7 Zn 0.1760 0.2940 0.0921
Zn8 Zn 0.2283 0.6243 0.8031
Zn9 Zn 0.6760 0.2060 0.5921
Zn10 Zn 0.2717 0.1243 0.6969
Zn11 Zn 0.7283 0.8757 0.3031
Zn12 Zn 0.8240 0.7060 0.9079
```



b | This record from Alexandria via LeMat-Bulk describes a geometry-optimized Zn6PtAu3 structure. The functional is GGA-PBE.

Values from the calculation:
Magnetization = 0.0 μB per cell
DOS at the Fermi energy = 0.306 states/eV per atom

The structure in CIF format:
```
data_Zn6PtAu3
_cell_length_a 4.5330
_cell_length_b 7.4845
_cell_length_c 10.0993
_cell_angle_alpha 113.50
_cell_angle_beta 90.00
_cell_angle_gamma 90.00
_symmetry_space_group_name_H-M 'P 1'
_symmetry_Int_Tables_number 1
loop_
_symmetry_equiv_pos_as_xyz
'x,y,z'
loop_
_atom_site_label
_atom_site_type_symbol
_atom_site_fract_x
_atom_site_fract_y
_atom_site_fract_z
Zn1 Zn 0.2500 0.1657 0.1620
Zn2 Zn 0.7500 0.5364 0.9294
Zn3 Zn 0.2500 0.2493 0.4774
Zn4 Zn 0.7500 0.3212 0.3238
Zn5 Zn 0.7500 0.9400 0.1407
Zn6 Zn 0.2500 0.0600 0.8593
Zn7 Zn 0.7500 0.8343 0.8380
Zn8 Zn 0.2500 0.6788 0.6762
Zn9 Zn 0.7500 0.1334 0.7110
Zn10 Zn 0.2500 0.4636 0.0706
Zn11 Zn 0.7500 0.7507 0.5226
Zn12 Zn 0.2500 0.8666 0.2890
Pt1 Pt 0.7500 0.0436 0.4232
Pt2 Pt 0.2500 0.9564 0.5768
Au1 Au 0.2500 0.3671 0.7764
Au2 Au 0.2500 0.7799 0.9849
Au3 Au 0.7500 0.2201 0.0151
Au4 Au 0.7500 0.6329 0.2236
Au5 Au 0.7500 0.4627 0.6258
Au6 Au 0.2500 0.5373 0.3742
```



b is preferred energetically. Next in line: 71 meV/atom higher.



a | This record from Alexandria via LeMat-Bulk describes a geometry-optimized ZrPtAu structure. The functional is GGA-PBE.

Values from the calculation:
Magnetization = 0.0 μB per cell
DOS at the Fermi energy = 0.421 states/eV per atom

The structure in CIF format:
```
data_ZrPtAu
_cell_length_a 3.5471
_cell_length_b 3.5471
_cell_length_c 5.0646
_cell_angle_alpha 110.50
_cell_angle_beta 110.50
_cell_angle_gamma 90.00
_symmetry_space_group_name_H-M 'P 1'
_symmetry_Int_Tables_number 1
loop_
_symmetry_equiv_pos_as_xyz
'x,y,z'
loop_
_atom_site_label
_atom_site_type_symbol
_atom_site_fract_x
_atom_site_fract_y
_atom_site_fract_z
Pt1 Pt 0.2906 0.2906 0.5813
Zr1 Zr 0.9432 0.9432 0.8864
Au1 Au 0.6162 0.6162 0.2323
```



b | This record from Alexandria via LeMat-Bulk describes a geometry-optimized ZrPtAu structure. The functional is GGA-PBE.

Values from the calculation:
Magnetization = 0.0 μB per cell
DOS at the Fermi energy = 1.053 states/eV per atom

The structure in CIF format:
```
data_ZrPtAu
_cell_length_a 4.6878
_cell_length_b 4.6878
_cell_length_c 2.8891
_cell_angle_alpha 90.00
_cell_angle_beta 90.00
_cell_angle_gamma 120.00
_symmetry_space_group_name_H-M 'P 1'
_symmetry_Int_Tables_number 1
loop_
_symmetry_equiv_pos_as_xyz
'x,y,z'
loop_
_atom_site_label
_atom_site_type_symbol
_atom_site_fract_x
_atom_site_fract_y
_atom_site_fract_z
Au1 Au 0.0000 0.0000 0.1422
Zr1 Zr 0.3333 0.6667 0.6568
Pt1 Pt 0.6667 0.3333 0.2010
```



a is preferred energetically. Next in line: 237 meV/atom higher.



a | This record from Alexandria via LeMat-Bulk describes a geometry-optimized ZrPtAu structure. The functional is GGA-PBE.

Values from the calculation:
Magnetization = 0.0 μB per cell
DOS at the Fermi energy = 0.456 states/eV per atom

The structure in CIF format:
```
data_ZrPtAu
_cell_length_a 5.0562
_cell_length_b 5.0240
_cell_length_c 5.0164
_cell_angle_alpha 90.00
_cell_angle_beta 119.75
_cell_angle_gamma 90.00
_symmetry_space_group_name_H-M 'P 1'
_symmetry_Int_Tables_number 1
loop_
_symmetry_equiv_pos_as_xyz
'x,y,z'
loop_
_atom_site_label
_atom_site_type_symbol
_atom_site_fract_x
_atom_site_fract_y
_atom_site_fract_z
Zr1 Zr 0.0155 0.7500 0.7577
Zr2 Zr 0.9845 0.2500 0.2423
Au1 Au 0.6532 0.2500 0.5767
Au2 Au 0.3468 0.7500 0.4233
Pt1 Pt 0.6940 0.7500 0.0969
Pt2 Pt 0.3060 0.2500 0.9031
```



b | This record from Alexandria via LeMat-Bulk describes a geometry-optimized ZrPtAu structure. The functional is GGA-PBE.

Values from the calculation:
Magnetization = 0.0 μB per cell
DOS at the Fermi energy = 0.847 states/eV per atom

The structure in CIF format:
```
data_ZrPtAu
_cell_length_a 4.5039
_cell_length_b 4.5039
_cell_length_c 4.5039
_cell_angle_alpha 60.00
_cell_angle_beta 60.00
_cell_angle_gamma 60.00
_symmetry_space_group_name_H-M 'P 1'
_symmetry_Int_Tables_number 1
loop_
_symmetry_equiv_pos_as_xyz
'x,y,z'
loop_
_atom_site_label
_atom_site_type_symbol
_atom_site_fract_x
_atom_site_fract_y
_atom_site_fract_z
Zr1 Zr 0.0000 0.0000 0.0000
Au1 Au 0.5000 0.5000 0.5000
Pt1 Pt 0.7500 0.7500 0.7500
```



a is preferred energetically. Next in line: 364 meV/atom higher.



a | This record from Alexandria via LeMat-Bulk describes a geometry-optimized Zr4PtAu structure. The functional is GGA-PBE.

Values from the calculation:
Magnetization = 0.0 μB per cell
DOS at the Fermi energy = 0.852 states/eV per atom

The structure in CIF format:
```
data_Zr4PtAu
_cell_length_a 5.5819
_cell_length_b 5.5819
_cell_length_c 5.5819
_cell_angle_alpha 60.00
_cell_angle_beta 60.00
_cell_angle_gamma 60.00
_symmetry_space_group_name_H-M 'P 1'
_symmetry_Int_Tables_number 1
loop_
_symmetry_equiv_pos_as_xyz
'x,y,z'
loop_
_atom_site_label
_atom_site_type_symbol
_atom_site_fract_x
_atom_site_fract_y
_atom_site_fract_z
Zr1 Zr 0.3745 0.8765 0.3745
Zr2 Zr 0.8765 0.3745 0.3745
Zr3 Zr 0.3745 0.3745 0.8765
Zr4 Zr 0.3745 0.3745 0.3745
Pt1 Pt 0.0000 0.0000 0.0000
Au1 Au 0.7500 0.7500 0.7500
```



b | This record from Alexandria via LeMat-Bulk describes a geometry-optimized Zr4PtAu structure. The functional is GGA-PBE.

Values from the calculation:
Magnetization = 0.0 μB per cell
DOS at the Fermi energy = 1.035 states/eV per atom

The structure in CIF format:
```
data_Zr4PtAu
_cell_length_a 5.4982
_cell_length_b 6.7699
_cell_length_c 6.7699
_cell_angle_alpha 90.00
_cell_angle_beta 90.00
_cell_angle_gamma 90.00
_symmetry_space_group_name_H-M 'P 1'
_symmetry_Int_Tables_number 1
loop_
_symmetry_equiv_pos_as_xyz
'x,y,z'
loop_
_atom_site_label
_atom_site_type_symbol
_atom_site_fract_x
_atom_site_fract_y
_atom_site_fract_z
Zr1 Zr 0.5000 0.1611 0.3482
Zr2 Zr 0.0000 0.3482 0.1611
Zr3 Zr 0.5000 0.6518 0.1611
Zr4 Zr 0.0000 0.8389 0.3482
Zr5 Zr 0.5000 0.3482 0.8389
Zr6 Zr 0.5000 0.8389 0.6518
Zr7 Zr 0.0000 0.6518 0.8389
Zr8 Zr 0.0000 0.1611 0.6518
Au1 Au 0.2500 0.0000 0.0000
Au2 Au 0.7500 0.0000 0.0000
Pt1 Pt 0.7500 0.5000 0.5000
Pt2 Pt 0.2500 0.5000 0.5000
```



b is preferred energetically. Next in line: 645 meV/atom higher.



a | This record from Alexandria via LeMat-Bulk describes a geometry-optimized ZrPtAu3 structure. The functional is GGA-PBE.

Values from the calculation:
Magnetization = 0.0 μB per cell
DOS at the Fermi energy = 1.414 states/eV per atom

The structure in CIF format:
```
data_ZrPtAu3
_cell_length_a 5.1358
_cell_length_b 5.1358
_cell_length_c 5.1358
_cell_angle_alpha 90.00
_cell_angle_beta 90.00
_cell_angle_gamma 90.00
_symmetry_space_group_name_H-M 'P 1'
_symmetry_Int_Tables_number 1
loop_
_symmetry_equiv_pos_as_xyz
'x,y,z'
loop_
_atom_site_label
_atom_site_type_symbol
_atom_site_fract_x
_atom_site_fract_y
_atom_site_fract_z
Au1 Au 0.0000 0.5000 0.0000
Au2 Au 0.0000 0.0000 0.5000
Au3 Au 0.5000 0.0000 0.0000
Zr1 Zr 0.0000 0.0000 0.0000
Pt1 Pt 0.5000 0.5000 0.5000
```



b | This record from Alexandria via LeMat-Bulk describes a geometry-optimized ZrPtAu3 structure. The functional is GGA-PBE.

Values from the calculation:
Magnetization = 1.9 μB per cell
DOS at the Fermi energy = 2.020 states/eV per atom

The structure in CIF format:
```
data_ZrPtAu3
_cell_length_a 5.0065
_cell_length_b 5.0065
_cell_length_c 5.0065
_cell_angle_alpha 90.00
_cell_angle_beta 90.00
_cell_angle_gamma 90.00
_symmetry_space_group_name_H-M 'P 1'
_symmetry_Int_Tables_number 1
loop_
_symmetry_equiv_pos_as_xyz
'x,y,z'
loop_
_atom_site_label
_atom_site_type_symbol
_atom_site_fract_x
_atom_site_fract_y
_atom_site_fract_z
Au1 Au 0.0000 0.0000 0.5000
Au2 Au 0.0000 0.5000 0.0000
Au3 Au 0.5000 0.0000 0.0000
Pt1 Pt 0.0000 0.0000 0.0000
Zr1 Zr 0.5000 0.5000 0.5000
```



b is preferred energetically. Next in line: 491 meV/atom higher.